(1)
This record from the Alexandria database describes a relaxed structure of CaHg2Au. The functional is GGA-PBE.

The space group is Pm (No. 6) and the conventional cell measures 3.808, 4.204 and 6.591 Å, with angles of 90.00, 106.33 and 90.00 degrees. The asymmetric unit holds Ca at (0.000, 0.000, 0.000), Hg at (0.255, 0.000, 0.518), Hg at (0.649, 0.500, 0.297) and Au at (0.414, 0.500, 0.825).

As for the mass density: 10.47 g/cm³. The density of states at the Fermi level comes out at 1.8 states/eV per cell. As for the formation energy: -0.405 eV/atom.

---

(2)
This record from the Alexandria database describes a relaxed structure of Ca4HgAu5. The functional is GGA-PBE.

The space group is P4/mmm (No. 123) and the conventional cell measures 3.677, 3.677 and 17.344 Å, with angles of 90.00, 90.00 and 90.00 degrees. The asymmetric unit holds Ca at (0.000, 0.000, 0.103), Ca at (0.000, 0.000, 0.311), Hg at (0.000, 0.000, 0.500), Au at (0.500, 0.500, 0.000), Au at (0.500, 0.500, 0.206) and Au at (0.500, 0.500, 0.405).

As for the mass density: 9.53 g/cm³. The density of states at the Fermi level comes out at 5.7 states/eV per cell. As for the formation energy: -0.666 eV/atom.

---

(3)
This record from the Alexandria database describes a relaxed structure of CaHg2Au. The functional is GGA-PBE.

The space group is I-42d (No. 122) and the conventional cell measures 8.370, 8.370 and 6.032 Å, with angles of 90.00, 90.00 and 90.00 degrees. The asymmetric unit holds Ca at (0.000, 0.000, 0.000), Hg at (0.218, 0.250, 0.625) and Au at (0.000, 0.000, 0.500).

As for the mass density: 10.03 g/cm³. The density of states at the Fermi level comes out at 6.7 states/eV per cell. As for the formation energy: -0.312 eV/atom.

---

(4)
This record from the Alexandria database describes a relaxed structure of Ca6HgAu2. The functional is GGA-PBE.

The space group is Immm (No. 71) and the conventional cell measures 9.655, 10.245 and 11.216 Å, with angles of 90.00, 90.00 and 90.00 degrees. The asymmetric unit holds Ca at (0.000, 0.194, 0.242), Ca at (0.194, 0.500, 0.161), Ca at (0.214, 0.322, 0.500), Hg at (0.000, 0.000, 0.000), Hg at (0.000, 0.000, 0.500), Au at (0.000, 0.331, 0.000) and Au at (0.000, 0.500, 0.366).

As for the mass density: 5.00 g/cm³. The density of states at the Fermi level comes out at 33.3 states/eV per cell. As for the formation energy: -0.522 eV/atom.

---

(5)
This record from the Alexandria database describes a relaxed structure of Ca3Hg2Au4. The functional is GGA-PBE.

The space group is C2/m (No. 12) and the conventional cell measures 11.116, 4.811 and 9.086 Å, with angles of 90.00, 116.63 and 90.00 degrees. The asymmetric unit holds Ca at (0.000, 0.000, 0.000), Ca at (0.149, 0.500, 0.686), Hg at (0.146, 0.500, 0.312), Au at (0.062, 0.000, 0.397) and Au at (0.231, 0.500, 0.064).

As for the mass density: 10.01 g/cm³. The density of states at the Fermi level comes out at 9.4 states/eV per cell. As for the formation energy: -0.623 eV/atom.

---

(6)
This record from the Alexandria database describes a relaxed structure of Ca3Hg4Au4. The functional is GGA-PBE.

The space group is P-1 (No. 2) and the conventional cell measures 3.629, 4.777 and 15.570 Å, with angles of 81.61, 83.50 and 89.92 degrees. The asymmetric unit holds Ca at (0.000, 0.000, 0.000), Ca at (0.140, 0.639, 0.719), Hg at (0.265, 0.266, 0.470), Hg at (0.409, 0.910, 0.183), Au at (0.318, 0.817, 0.365) and Au at (0.456, 0.454, 0.090).

As for the mass density: 10.71 g/cm³. The energy relative to the lowest polymorph listed for this composition is 1.9 kJ/mol of atoms. The density of states at the Fermi level comes out at 5.1 states/eV per cell. As for the formation energy: -0.485 eV/atom.

---

(7)
This record from the Alexandria database describes a relaxed structure of CaHgAu. The functional is GGA-PBE.

The space group is F-43m (No. 216) and the conventional cell measures 6.898, 6.898 and 6.898 Å, with angles of 90.00, 90.00 and 90.00 degrees. The asymmetric unit holds Ca at (0.000, 0.000, 0.000), Hg at (0.000, 0.000, 0.500) and Au at (0.250, 0.250, 0.750).

As for the mass density: 8.86 g/cm³. The density of states at the Fermi level comes out at 7.2 states/eV per cell. As for the formation energy: -0.536 eV/atom.

---

(8)
This record from the Alexandria database describes a relaxed structure of Ca2HgAu. The functional is GGA-PBE.

The space group is Amm2 (No. 38) and the conventional cell measures 4.713, 4.073 and 11.394 Å, with angles of 90.00, 90.00 and 90.00 degrees. The asymmetric unit holds Ca at (0.000, 0.000, 0.000), Ca at (0.500, 0.000, 0.281), Hg at (0.500, 0.000, 0.559) and Au at (0.000, 0.000, 0.726).

As for the mass density: 7.25 g/cm³. The density of states at the Fermi level comes out at 3.7 states/eV per cell. As for the formation energy: -0.651 eV/atom.